No. 1
DFT (PBE-GGA) results for crystalline LaCrAu at its relaxed geometry.

Values from the calculation:
The value obtained for the distance to the lowest polymorph of the same formula is 87 meV per atom. The value obtained for the total energy is -5.966 eV per atom. For the energy of formation, the calculation gives -23 meV per atom. Its space group is I4mm, No. 107.

```
LaCrAu
1.0
-1.858 1.858 5.131
1.858 -1.858 5.131
1.858 1.858 -5.131
La Cr Au
1 1 1
direct
0.000 0.000 0.000 La
0.694 0.694 0.000 Cr
0.313 0.313 0.000 Au
```


No. 2
DFT (PBE-GGA) results for crystalline La2NbCrAu at its relaxed geometry.

Values from the calculation:
The value obtained for the total energy is -5.759 eV per atom. For the energy of formation, the calculation gives 806 meV per atom. Its space group is P4/mmm, No. 123.

```
La2NbCrAu
1.0
5.780 0.000 0.000
0.000 5.780 0.000
0.000 0.000 5.106
La Nb Cr Au
2 1 1 1
direct
0.000 0.500 0.000 La
0.500 0.000 0.000 La
0.000 0.000 0.500 Nb
0.500 0.500 0.500 Cr
0.000 0.000 0.000 Au
```


No. 3
DFT (PBE-GGA) results for crystalline LaCrOsAu2 at its relaxed geometry.

Values from the calculation:
The value obtained for the total energy is -6.137 eV per atom. For the energy of formation, the calculation gives 330 meV per atom. Its space group is P4/mmm, No. 123.

```
LaCrOsAu2
1.0
4.950 0.000 0.000
0.000 4.950 0.000
0.000 0.000 4.537
La Cr Os Au
1 1 1 2
direct
0.000 0.000 0.000 La
0.500 0.500 0.500 Cr
0.500 0.500 0.000 Os
0.000 0.500 0.500 Au
0.500 0.000 0.500 Au
```


No. 4
DFT (PBE-GGA) results for crystalline Rb2LaCrAu at its relaxed geometry.

Values from the calculation:
The value obtained for the total energy is -2.905 eV per atom. For the energy of formation, the calculation gives 1048 meV per atom. Its space group is P4/mmm, No. 123.

```
Rb2LaCrAu
1.0
7.576 0.000 0.000
0.000 7.576 0.000
0.000 0.000 5.369
Rb La Cr Au
2 1 1 1
direct
0.000 0.500 0.000 Rb
0.500 0.000 0.000 Rb
0.000 0.000 0.000 La
0.500 0.500 0.500 Cr
0.000 0.000 0.500 Au
```


no.,N(E_F) (states/eV per atom)
1,0.870
2,1.641
3,0.785
4,1.122